Density functional theory data (PBE) for an optimized crystal structure of BaSn2Bi2.

```
BaSn2Bi2
1.0
4.768 0.000 0.000
0.000 4.768 0.000
2.384 2.384 7.951
Bi Sn Ba
2 2 1
Cartesian
2.384 2.384 1.594 Bi
4.768 4.768 6.356 Bi
4.768 2.384 3.975 Sn
2.384 4.768 3.975 Sn
0.000 0.000 0.000 Ba
```

## Properties
Its magnetic moment is 0.0 μB per formula unit. The formation energy is -0.29 eV per atom.

***

Density functional theory data (PBE) for an optimized crystal structure of BaSn3Bi.

```
BaSn3Bi
1.0
-3.422 3.274 4.393
4.128 -1.619 6.683
3.934 5.563 -1.082
Ba Sn Bi
2 6 2
Cartesian
2.174 5.471 5.206 Ba
0.997 2.923 9.823 Ba
-0.941 3.510 5.794 Sn
4.855 5.214 2.899 Sn
0.472 3.654 2.166 Sn
3.853 4.885 8.302 Sn
2.706 6.813 1.552 Sn
2.934 2.498 3.427 Sn
2.695 4.106 0.087 Bi
1.577 1.815 6.234 Bi
```

## Properties
Its magnetic moment is 0.0 μB per formula unit. The formation energy is -0.28 eV per atom.

***

Density functional theory data (PBE) for an optimized crystal structure of BaSn3Bi3.

```
BaSn3Bi3
1.0
8.581 0.000 0.000
0.000 8.581 0.000
0.000 0.000 8.581
Bi Sn Ba
6 6 2
Cartesian
0.000 2.145 4.291 Bi
0.000 6.436 4.291 Bi
4.291 0.000 6.436 Bi
6.436 4.291 0.000 Bi
4.291 0.000 2.145 Bi
2.145 4.291 0.000 Bi
2.145 0.000 4.291 Sn
0.000 4.291 2.145 Sn
4.291 6.436 0.000 Sn
6.436 0.000 4.291 Sn
0.000 4.291 6.436 Sn
4.291 2.145 0.000 Sn
4.291 4.291 4.291 Ba
0.000 0.000 0.000 Ba
```

## Properties
Its magnetic moment is 0.0 μB per formula unit. The formation energy is 0.03 eV per atom.

***

Density functional theory data (PBE) for an optimized crystal structure of BaSn3Bi3.

```
BaSn3Bi3
1.0
4.570 0.000 0.000
0.000 11.069 0.000
0.000 -5.534 9.586
Ba Sn Bi
2 6 6
Cartesian
1.142 5.535 3.195 Ba
3.427 0.000 6.391 Ba
3.427 6.344 7.414 Sn
3.427 8.783 0.385 Sn
1.142 4.058 7.799 Sn
3.427 1.477 1.787 Sn
1.142 -3.248 9.201 Sn
1.142 -0.809 2.172 Sn
3.427 3.728 5.572 Bi
3.427 8.496 3.572 Bi
1.142 1.155 9.144 Bi
3.427 4.380 0.442 Bi
1.142 -2.962 6.014 Bi
1.142 1.807 4.014 Bi
```

## Properties
Its magnetic moment is 0.0 μB per formula unit. The formation energy is -0.21 eV per atom.

***

Density functional theory data (PBE) for an optimized crystal structure of Ba5Sn2Bi.

```
Ba5Sn2Bi
1.0
0.984 8.886 -2.206
5.457 -2.350 -7.035
-9.904 -3.773 -0.396
Ba Sn Bi
10 4 2
Cartesian
-2.800 0.400 -6.257 Ba
3.254 3.882 -8.751 Ba
0.000 0.000 0.000 Ba
3.221 3.268 -4.620 Ba
-6.717 -1.119 -0.885 Ba
-5.375 2.958 -3.083 Ba
-4.141 -3.677 -4.059 Ba
1.913 -0.195 -6.553 Ba
0.678 6.440 -5.577 Ba
-0.663 2.363 -3.379 Ba
2.204 0.143 -2.951 Sn
1.247 5.210 -2.187 Sn
5.194 1.326 -7.054 Sn
4.237 6.393 -6.290 Sn
-0.121 3.015 -7.128 Bi
-3.342 -0.253 -2.508 Bi
```

## Properties
Its magnetic moment is 0.9 μB per formula unit. The formation energy is -0.72 eV per atom.

***

Density functional theory data (PBE) for an optimized crystal structure of Ba2Sn3Bi4.

```
Ba2Sn3Bi4
1.0
6.523 1.079 -0.554
4.175 5.218 -0.158
-1.326 -0.552 11.012
Ba Sn Bi
2 3 4
Cartesian
2.348 1.817 7.952 Ba
7.024 3.928 2.350 Ba
3.796 1.859 4.515 Sn
0.000 0.000 0.000 Sn
5.577 3.885 5.786 Sn
5.911 3.834 9.687 Bi
3.572 4.696 3.117 Bi
5.800 1.048 7.184 Bi
3.462 1.910 0.615 Bi
```

## Properties
Its magnetic moment is 0.0 μB per formula unit. The formation energy is -0.37 eV per atom.

***

Density functional theory data (PBE) for an optimized crystal structure of Ba2SnBi2.

```
Ba2SnBi2
1.0
4.804 0.000 0.000
0.000 7.629 0.000
-2.402 0.000 11.325
Ba Sn Bi
4 2 4
Cartesian
2.402 5.821 10.536 Ba
2.402 3.281 6.915 Ba
0.000 7.095 4.410 Ba
0.000 2.006 0.789 Ba
0.000 0.405 8.903 Sn
2.402 4.220 2.422 Sn
0.000 3.319 9.558 Bi
2.402 7.271 7.119 Bi
0.000 3.456 4.206 Bi
2.402 7.134 1.767 Bi
```

## Properties
Its magnetic moment is 0.0 μB per formula unit. The formation energy is -0.69 eV per atom.

***

Density functional theory data (PBE) for an optimized crystal structure of Ba2SnBi2.

```
Ba2SnBi2
1.0
8.612 0.000 0.000
0.000 8.612 0.000
0.000 0.000 5.245
Bi Sn Ba
4 2 4
Cartesian
3.202 7.508 0.000 Bi
7.508 5.409 0.000 Bi
5.409 1.103 0.000 Bi
1.103 3.202 0.000 Bi
0.000 0.000 0.000 Sn
4.306 4.306 0.000 Sn
1.525 5.831 2.623 Ba
5.831 7.086 2.623 Ba
7.086 2.780 2.623 Ba
2.780 1.525 2.623 Ba
```

## Properties
Its magnetic moment is 0.0 μB per formula unit. The formation energy is -0.68 eV per atom.

***

Question: Number 7 is which compound?
Answer: Ba2SnBi2

***

Please write out number 8 again, unchanged.
Density functional theory data (PBE) for an optimized crystal structure of Ba2SnBi2.

```
Ba2SnBi2
1.0
8.612 0.000 0.000
0.000 8.612 0.000
0.000 0.000 5.245
Bi Sn Ba
4 2 4
Cartesian
3.202 7.508 0.000 Bi
7.508 5.409 0.000 Bi
5.409 1.103 0.000 Bi
1.103 3.202 0.000 Bi
0.000 0.000 0.000 Sn
4.306 4.306 0.000 Sn
1.525 5.831 2.623 Ba
5.831 7.086 2.623 Ba
7.086 2.780 2.623 Ba
2.780 1.525 2.623 Ba
```

## Properties
Its magnetic moment is 0.0 μB per formula unit. The formation energy is -0.68 eV per atom.

***

Question: Among the records above, which one has the highest magnetic moment?
Answer: Ba5Sn2Bi